A relaxed In4CoSi crystal, computed with PBE.

Structure (POSCAR):
```
In4CoSi
1.0
0.000 4.157 4.157
4.157 0.000 4.157
4.157 4.157 0.000
In Co Si
4 1 1
Direct
0.375 0.876 0.375 In
0.375 0.375 0.375 In
0.876 0.375 0.375 In
0.375 0.375 0.876 In
0.000 0.000 0.000 Co
0.750 0.750 0.750 Si
```

Output
* space group: F-43m
* D(E_F): 5.83 states/eV/cell
* total moment: 1.94 Bohr magnetons per cell
* ΔE_f (raw): 0.817 eV per atom



A relaxed PrDy2TmP4 crystal, computed with PBE.

Structure (POSCAR):
```
PrDy2TmP4
1.0
-0.187 1.054 3.902
-6.945 -0.886 -0.093
3.098 -6.026 1.776
P Pr Tm Dy
4 1 1 2
Direct
0.500 0.756 0.749 P
0.500 0.244 0.251 P
0.000 0.241 0.743 P
0.000 0.759 0.257 P
0.500 0.500 0.000 Pr
0.000 0.000 0.000 Tm
0.000 0.500 0.500 Dy
0.500 0.000 0.500 Dy
```

Output
* space group: P2/m
* raw total energy: -6.58 eV/atom
* D(E_F): 0.73 states/eV/cell
* total moment: 0.00 Bohr magnetons per cell



A relaxed SiIr3Au crystal, computed with PBE.

Structure (POSCAR):
```
SiIr3Au
1.0
-1.807 1.711 3.669
-3.836 0.559 -2.150
-1.292 -4.051 1.252
Ir Si Au
3 1 1
Direct
0.000 0.500 0.000 Ir
0.500 0.000 0.000 Ir
0.000 0.000 0.500 Ir
0.000 0.000 0.000 Si
0.500 0.500 0.500 Au
```

Output
* E above lowest polymorph: 0 meV/atom
* space group: Pm-3m
* D(E_F): 9.12 states/eV/cell
* total moment: 0.00 Bohr magnetons per cell
* ΔE_f (raw): 0.783 eV per atom



A relaxed DyTmScMn crystal, computed with PBE.

Structure (POSCAR):
```
DyTmScMn
1.0
5.164 0.000 0.000
2.582 4.472 0.000
2.582 1.491 4.216
Sc Dy Mn Tm
1 1 1 1
Direct
0.000 0.000 0.000 Sc
0.250 0.250 0.250 Dy
0.500 0.500 0.500 Mn
0.750 0.750 0.750 Tm
```

Output
* space group: F-43m
* raw total energy: -5.92 eV/atom
* D(E_F): 6.20 states/eV/cell
* total moment: 2.47 Bohr magnetons per cell



A relaxed PmNd2TmAs4 crystal, computed with PBE.

Structure (POSCAR):
```
PmNd2TmAs4
1.0
4.217 0.000 0.000
0.000 7.294 -0.143
0.000 2.568 6.830
As Nd Pm Tm
4 2 1 1
Direct
0.000 0.256 0.253 As
0.500 0.259 0.742 As
0.000 0.744 0.747 As
0.500 0.741 0.258 As
0.000 0.000 0.000 Nd
0.500 0.000 0.500 Nd
0.500 0.500 0.000 Pm
0.000 0.500 0.500 Tm
```

Output
* space group: P2/m
* raw total energy: -6.17 eV/atom
* D(E_F): 0.71 states/eV/cell
* total moment: 0.00 Bohr magnetons per cell



A relaxed LaNb2HgO crystal, computed with PBE.

Structure (POSCAR):
```
LaNb2HgO
1.0
-3.773 2.471 2.064
-0.154 -3.832 4.305
3.216 2.763 2.574
Hg La O Nb
1 1 1 2
Direct
0.000 0.500 0.000 Hg
0.000 0.000 0.000 La
0.500 0.500 0.500 O
0.500 0.000 0.000 Nb
0.000 0.000 0.500 Nb
```

Output
* space group: P4/mmm
* D(E_F): 7.13 states/eV/cell
* total moment: 0.00 Bohr magnetons per cell
* ΔE_f (raw): 2.099 eV per atom



A relaxed Ba4H2Pd crystal, computed with PBE.

Structure (POSCAR):
```
Ba4H2Pd
1.0
6.085 0.000 0.000
0.000 6.085 0.000
3.042 3.042 7.147
H Pd Ba
2 1 4
Direct
0.417 0.417 0.167 H
0.583 0.583 0.833 H
0.000 0.000 0.000 Pd
0.238 0.238 0.524 Ba
0.500 0.000 0.000 Ba
0.762 0.762 0.476 Ba
0.000 0.500 0.000 Ba
```

Output
* space group: I4/mmm
* raw total energy: -3.00 eV/atom
* D(E_F): 5.50 states/eV/cell
* total moment: 0.00 Bohr magnetons per cell



A relaxed PmZn12Ga6 crystal, computed with PBE.

Structure (POSCAR):
```
PmZn12Ga6
1.0
-0.519 1.055 7.133
-6.888 0.451 -2.149
1.309 -7.096 -0.437
Zn Ga Pm
12 6 1
Direct
0.892 0.500 0.108 Zn
0.500 0.892 0.108 Zn
0.892 0.108 0.500 Zn
0.108 0.500 0.892 Zn
0.872 0.631 0.631 Zn
0.631 0.631 0.872 Zn
0.369 0.128 0.369 Zn
0.369 0.369 0.128 Zn
0.631 0.872 0.631 Zn
0.500 0.108 0.892 Zn
0.108 0.892 0.500 Zn
0.128 0.369 0.369 Zn
0.296 0.710 0.296 Ga
0.704 0.704 0.290 Ga
0.296 0.296 0.710 Ga
0.704 0.290 0.704 Ga
0.290 0.704 0.704 Ga
0.710 0.296 0.296 Ga
0.000 0.000 0.000 Pm
```

Output
* space group: R-3m
* raw total energy: -1.98 eV/atom
* D(E_F): 7.67 states/eV/cell
* total moment: 0.00 Bohr magnetons per cell



> Which formula does entry 8 have?

PmZn12Ga6